(1)
Below is RbCu3Au after structural relaxation, with properties calculated at the PBE-GGA level.

The energy above the most stable polymorph in this dataset comes out at 0.0 kJ per mole of atoms. For the total DFT energy (no corrections), the calculation gives -2.88 eV per atom. As for the space group: Pm-3m (221). For the formation energy, the calculation gives 0.426 eV/atom.

a = 4.9736 Å, b = 4.9736 Å, c = 4.9736 Å
α = 90.00°, β = 90.00°, γ = 90.00°
With the nearest neighbours (Å) after each atom.
Atoms (fractional coordinates):
Rb  0.0000  0.0000  0.0000  12 Cu 3.52
Cu  0.0000  0.5000  0.5000  2 Au 2.49
Cu  0.5000  0.0000  0.5000  2 Au 2.49
Cu  0.5000  0.5000  0.0000  2 Au 2.49
Au  0.5000  0.5000  0.5000  6 Cu 2.49

=====

(2)
Below is RbCu2Au2 after structural relaxation, with properties calculated at the PBE-GGA level.

The energy above the most stable polymorph in this dataset comes out at 0.9 kJ per mole of atoms. For the total DFT energy (no corrections), the calculation gives -3.05 eV per atom. As for the space group: I4/mmm (139). For the formation energy, the calculation gives 0.088 eV/atom.

a = 6.3481 Å, b = 6.3481 Å, c = 6.3481 Å
α = 138.24°, β = 138.24°, γ = 60.53°
With the nearest neighbours (Å) after each atom.
Atoms (fractional coordinates):
Rb  0.0000  0.0000  0.0000  8 Au 3.50, 8 Cu 3.55
Cu  0.2500  0.7500  0.5000  4 Au 2.62
Cu  0.7500  0.2500  0.5000  4 Au 2.62
Au  0.3700  0.3700  0.0000  4 Cu 2.62, 1 Au 2.85
Au  0.6300  0.6300  0.0000  4 Cu 2.62, 1 Au 2.85

=====

(3)
Below is RbCuAu2 after structural relaxation, with properties calculated at the PBE-GGA level.

The energy above the most stable polymorph in this dataset comes out at 5.5 kJ per mole of atoms. For the total DFT energy (no corrections), the calculation gives -2.98 eV per atom. As for the space group: I4_1/amd (141). For the formation energy, the calculation gives -0.075 eV/atom.

a = 9.4511 Å, b = 9.4511 Å, c = 9.4511 Å
α = 146.82°, β = 146.82°, γ = 47.64°
With the nearest neighbours (Å) after each atom.
Atoms (fractional coordinates):
Rb  0.3750  0.6250  0.7500  8 Au 3.71, 4 Cu 3.82
Rb  0.6250  0.3750  0.2500  8 Au 3.71, 4 Cu 3.82
Cu  0.1250  0.8750  0.2500  4 Au 2.55
Cu  0.8750  0.1250  0.7500  4 Au 2.55
Au  0.0000  0.0000  0.0000  2 Cu 2.55, 2 Au 2.70
Au  0.0000  0.0000  0.5000  2 Cu 2.55, 2 Au 2.70
Au  0.0000  0.5000  0.0000  2 Cu 2.55, 2 Au 2.70
Au  0.5000  0.0000  0.5000  2 Cu 2.55, 2 Au 2.70

=====

(4)
Below is RbCu3Au after structural relaxation, with properties calculated at the PBE-GGA level.

The energy above the most stable polymorph in this dataset comes out at 137.9 kJ per mole of atoms. For the total DFT energy (no corrections), the calculation gives -1.45 eV per atom. As for the space group: Pm-3m (221). For the formation energy, the calculation gives 1.856 eV/atom.

a = 5.1504 Å, b = 5.1504 Å, c = 5.1504 Å
α = 90.00°, β = 90.00°, γ = 90.00°
With the nearest neighbours (Å) after each atom.
Atoms (fractional coordinates):
Rb  0.0000  0.0000  0.0000  6 Cu 2.58
Cu  0.0000  0.0000  0.5000  2 Rb 2.58
Cu  0.0000  0.5000  0.0000  2 Rb 2.58
Cu  0.5000  0.0000  0.0000  2 Rb 2.58
Au  0.5000  0.5000  0.5000  12 Cu 3.64